KTcNO2 | GGA-PBE | relaxed

Cell: 3.9789 3.9789 3.8715 Å, 90.00 90.00 90.00°
With the nearest neighbours (Å) after each atom.
Fractional positions:
K (0.0000, 0.0000, 0.0000)  8 O 2.78, 4 N 2.81
Tc (0.5000, 0.5000, 0.5000)  2 N 1.94, 4 O 1.99
N (0.5000, 0.5000, 0.0000)  2 Tc 1.94
O (0.0000, 0.5000, 0.5000)  2 Tc 1.99
O (0.5000, 0.0000, 0.5000)  2 Tc 1.99

Uncorrected energy ... -0.252 Ha/atom
N(E_F) ... 0.33 states/eV/atom
Raw formation energy ... -0.9058 eV/atom

***

Ho4C2Se | GGA-PBE | relaxed

Cell: 12.9699 12.9699 12.9699 Å, 16.30 16.30 16.30°
With the nearest neighbours (Å) after each atom.
Fractional positions:
Ho (0.1194, 0.1194, 0.1194)  3 C 2.46
Ho (0.2830, 0.2830, 0.2830)  3 C 2.54
Ho (0.7170, 0.7170, 0.7170)  3 C 2.54
Ho (0.8806, 0.8806, 0.8806)  3 C 2.46
C (0.4203, 0.4203, 0.4203)  6 Ho 2.46-2.54
C (0.5797, 0.5797, 0.5797)  6 Ho 2.46-2.54
Se (0.0000, 0.0000, 0.0000)  6 Ho 2.87

Uncorrected energy ... -0.240 Ha/atom
N(E_F) ... 0.34 states/eV/atom
Raw formation energy ... -0.7832 eV/atom

***

SrSeBrF2 | GGA-PBE | relaxed

Cell: 4.4533 4.4533 7.1954 Å, 90.00 90.00 90.00°
With the nearest neighbours (Å) after each atom.
Fractional positions:
Sr (0.0000, 0.0000, 0.0000)  4 F 2.23
Se (0.0000, 0.0000, 0.5000)  4 Br 3.15
Br (0.5000, 0.5000, 0.5000)  4 Se 3.15
F (0.0000, 0.5000, 0.0000)  2 Sr 2.23
F (0.5000, 0.0000, 0.0000)  2 Sr 2.23

Uncorrected energy ... -0.142 Ha/atom
N(E_F) ... 0.65 states/eV/atom
Raw formation energy ... -1.7581 eV/atom

***

Y2ErCu | GGA-PBE | relaxed

Cell: 6.3277 6.3277 7.4621 Å, 90.00 90.00 133.85°
With the nearest neighbours (Å) after each atom.
Fractional positions:
Y (0.1479, 0.8521, 0.5289)  3 Cu 2.76-3.03
Y (0.1479, 0.8521, 0.9711)  3 Cu 2.76-3.03
Y (0.8521, 0.1479, 0.0289)  3 Cu 2.76-3.03
Y (0.8521, 0.1479, 0.4711)  3 Cu 2.76-3.03
Er (0.4575, 0.5425, 0.7500)  1 Cu 2.78
Er (0.5425, 0.4575, 0.2500)  1 Cu 2.78
Cu (0.3040, 0.6960, 0.2500)  6 Y 2.76-3.03, 1 Er 2.78
Cu (0.6960, 0.3040, 0.7500)  6 Y 2.76-3.03, 1 Er 2.78

Uncorrected energy ... -0.201 Ha/atom
Energy above the lowest structure with this stoichiometry ... 55 meV per atom
N(E_F) ... 1.33 states/eV/atom
Energy relative to the elements ... -0.06 eV per atom

***

SmDy2Pa3P6 | GGA-PBE | relaxed

Cell: 6.9245 6.9245 6.9216 Å, 99.60 99.60 120.01°
With the nearest neighbours (Å) after each atom.
Fractional positions:
Sm (0.0000, 0.0000, 0.0000)  6 P 2.87
Dy (0.3332, 0.6668, 0.0000)  6 P 2.84
Dy (0.6668, 0.3332, 0.0000)  6 P 2.84
Pa (0.1658, 0.8342, 0.5000)  6 P 2.79-2.81
Pa (0.5000, 0.5000, 0.5000)  6 P 2.78-2.81
Pa (0.8342, 0.1658, 0.5000)  6 P 2.79-2.81
P (0.0858, 0.4227, 0.2571)  3 Pa 2.79-2.81, 2 Dy 2.84, 1 Sm 2.87
P (0.2517, 0.2517, 0.7441)  3 Pa 2.78-2.81, 2 Dy 2.84, 1 Sm 2.87
P (0.4227, 0.0858, 0.2571)  3 Pa 2.79-2.81, 2 Dy 2.84, 1 Sm 2.87
P (0.5773, 0.9142, 0.7429)  3 Pa 2.79-2.81, 2 Dy 2.84, 1 Sm 2.87
P (0.7483, 0.7483, 0.2559)  3 Pa 2.78-2.81, 2 Dy 2.84, 1 Sm 2.87
P (0.9142, 0.5773, 0.7429)  3 Pa 2.79-2.81, 2 Dy 2.84, 1 Sm 2.87

Uncorrected energy ... -0.283 Ha/atom
N(E_F) ... 0.80 states/eV/atom
Energy relative to the elements ... -1.45 eV per atom

***

La2Sm2CN2 | GGA-PBE | relaxed

Cell: 3.6450 6.3552 7.1824 Å, 114.51 104.67 90.07°
With the nearest neighbours (Å) after each atom.
Fractional positions:
La (0.1250, 0.2860, 0.2509)  2 C 2.63-2.64, 3 N 2.74-2.75
La (0.8750, 0.7140, 0.7491)  2 C 2.63-2.64, 3 N 2.74-2.75
Sm (0.3608, 0.1782, 0.7210)  3 N 2.40-2.45, 1 C 2.63
Sm (0.6392, 0.8218, 0.2790)  3 N 2.40-2.45, 1 C 2.63
C (0.5000, 0.0000, 0.0000)  2 Sm 2.63, 4 La 2.63-2.64
N (0.2370, 0.7626, 0.4759)  3 Sm 2.40-2.45
N (0.7630, 0.2374, 0.5241)  3 Sm 2.40-2.45

Uncorrected energy ... -0.266 Ha/atom
N(E_F) ... 0.39 states/eV/atom
Raw formation energy ... -0.7722 eV/atom

***

TiMn2Al3 | GGA-PBE | relaxed

Cell: 5.5086 5.5086 6.5109 Å, 90.00 90.00 120.00°
With the nearest neighbours (Å) after each atom.
Fractional positions:
Ti (0.3333, 0.6667, 0.3241)  3 Mn 2.64, 9 Al 2.76-2.84
Ti (0.6667, 0.3333, 0.6759)  3 Mn 2.64, 9 Al 2.76-2.84
Mn (0.0000, 0.0000, 0.0000)  6 Al 2.59, 6 Mn 2.75
Mn (0.0000, 0.5000, 0.0000)  4 Al 2.58, 2 Ti 2.64, 6 Mn 2.75
Mn (0.5000, 0.0000, 0.0000)  4 Al 2.58, 2 Ti 2.64, 6 Mn 2.75
Mn (0.5000, 0.5000, 0.0000)  4 Al 2.58, 2 Ti 2.64, 6 Mn 2.75
Al (0.1677, 0.3355, 0.6865)  3 Mn 2.58-2.59, 4 Al 2.74-2.77, 3 Ti 2.76-2.84
Al (0.1677, 0.8323, 0.6865)  3 Mn 2.58-2.59, 4 Al 2.74-2.77, 3 Ti 2.76-2.84
Al (0.3355, 0.1677, 0.3135)  3 Mn 2.58-2.59, 4 Al 2.74-2.77, 3 Ti 2.76-2.84
Al (0.6645, 0.8323, 0.6865)  3 Mn 2.58-2.59, 4 Al 2.74-2.77, 3 Ti 2.76-2.84
Al (0.8323, 0.1677, 0.3135)  3 Mn 2.58-2.59, 4 Al 2.74-2.77, 3 Ti 2.76-2.84
Al (0.8323, 0.6645, 0.3135)  3 Mn 2.58-2.59, 4 Al 2.74-2.77, 3 Ti 2.76-2.84

Uncorrected energy ... -0.237 Ha/atom
N(E_F) ... 0.72 states/eV/atom
Energy relative to the elements ... -0.20 eV per atom

***

Tc2OsW | GGA-PBE | relaxed

Cell: 4.7752 2.7730 4.7896 Å, 90.00 109.41 90.00°
With the nearest neighbours (Å) after each atom.
Fractional positions:
Tc (0.0000, 0.0000, 0.0000)  6 Tc 2.76-2.77, 2 W 2.76, 4 Os 2.77
Tc (0.5000, 0.5000, 0.0000)  6 Tc 2.76-2.77, 2 Os 2.76, 4 W 2.77
Os (0.0000, 0.5000, 0.5000)  4 W 2.76, 6 Tc 2.76-2.77, 2 Os 2.77
W (0.5000, 0.0000, 0.5000)  4 Os 2.76, 6 Tc 2.76-2.77, 2 W 2.77

Uncorrected energy ... -0.410 Ha/atom
Energy above the lowest structure with this stoichiometry ... 22 meV per atom
N(E_F) ... 0.99 states/eV/atom
Energy relative to the elements ... 0.08 eV per atom